Compound: PuAsPb
Source: OQMD via LeMat-Bulk
Functional: PBE-GGA
Structure: optimized geometry

```
3
Lattice="0.0000 3.4849 3.4849 3.4849 0.0000 3.4849 3.4849 3.4849 0.0000" Properties=species:S:1:pos:R:3 pbc="T T T"
As 1.7424 1.7424 1.7424
Pb 5.2273 5.2273 5.2273
Pu 0.0000 0.0000 0.0000
```

## Properties
Total magnetic moment in μB per formula unit: 5.55
Offset from the most stable computed form in eV per atom: 0.000

---

Compound: Y4CoSiC2
Source: OQMD via LeMat-Bulk
Functional: PBE-GGA
Structure: optimized geometry

```
8
Lattice="3.5819 0.0000 0.0000 -1.7909 3.1020 0.0000 0.0000 0.0000 14.2899" Properties=species:S:1:pos:R:3 pbc="T T T"
C 0.0000 2.0680 3.4372
C 0.0000 2.0680 10.8527
Co 1.7909 1.0340 0.0000
Si 0.0000 0.0000 7.1449
Y 0.0000 0.0000 2.0570
Y 1.7909 1.0340 4.7981
Y 1.7909 1.0340 9.4918
Y 0.0000 0.0000 12.2329
```

## Properties
Total magnetic moment in μB per formula unit: 0.01

---

Compound: Gd2Br3N
Source: OQMD via LeMat-Bulk
Functional: PBE-GGA
Structure: optimized geometry

```
24
Lattice="8.4238 -0.0505 -0.1345 -1.3151 8.2592 0.0422 -2.6097 -3.3791 9.5288" Properties=species:S:1:pos:R:3 pbc="T T T"
Br 1.2658 5.3347 0.8555
Br 4.8533 5.8674 1.1775
Br 3.8767 0.5700 1.5475
Br -0.8082 2.7072 2.4042
Br 3.1866 3.4652 3.5174
Br 6.2779 -0.1854 4.2189
Br -1.7789 5.0149 5.2175
Br 1.3124 1.3644 5.9191
Br 5.3072 2.1223 7.0322
Br 0.6223 4.2596 7.8889
Br -0.3544 -1.0378 8.2589
Br 3.2332 -0.5051 8.5809
Gd 6.8937 0.3827 0.4550
Gd -0.8936 5.9826 2.5424
Gd 1.4644 0.8822 3.0016
Gd 2.7126 6.3681 3.4364
Gd 1.7864 -1.5385 6.0000
Gd 3.0346 3.9474 6.4348
Gd 5.3926 -1.1530 6.8940
Gd -2.3947 4.4468 8.9814
N 0.4317 -0.2931 1.3770
N 1.8933 -1.1876 3.7838
N 2.6057 6.0172 5.6526
N 4.0673 5.1227 8.0594
```

## Properties
Total magnetic moment in μB per formula unit: 0.00

---

Compound: AgBi2Te3Cl
Source: OQMD via LeMat-Bulk
Functional: PBE-GGA
Structure: optimized geometry

```
14
Lattice="8.6951 0.0000 0.0000 0.0000 4.3574 0.0000 -3.2226 0.0000 11.4540" Properties=species:S:1:pos:R:3 pbc="T T T"
Ag 8.0210 3.2680 0.9817
Ag -2.5485 1.0894 10.4722
Bi 3.5616 3.2680 1.8204
Bi 0.3130 1.0894 5.0947
Bi 5.1595 3.2680 6.3593
Bi 1.9109 1.0894 9.6335
Cl 3.9092 1.0894 4.6725
Cl 1.5633 3.2680 6.7814
Te 5.7377 1.0894 1.0555
Te 1.2186 1.0894 1.8987
Te 7.2089 3.2680 3.9724
Te -1.7364 1.0894 7.4816
Te 4.2539 3.2680 9.5553
Te -0.2652 3.2680 10.3985
```

---

Compound: LuUBi
Source: OQMD via LeMat-Bulk
Functional: PBE-GGA
Structure: optimized geometry

```
3
Lattice="0.0000 3.5397 3.5397 3.5397 0.0000 3.5397 3.5397 3.5397 0.0000" Properties=species:S:1:pos:R:3 pbc="T T T"
Bi 1.7698 1.7698 1.7698
Lu 0.0000 0.0000 0.0000
U 5.3096 5.3096 5.3096
```

## Properties
Total magnetic moment in μB per formula unit: 5.21
Offset from the most stable computed form in eV per atom: 0.000

---

Compound: CuAg4
Source: OQMD via LeMat-Bulk
Functional: PBE-GGA
Structure: optimized geometry

```
10
Lattice="-5.0783 1.0971 -3.8194 1.6929 -2.2461 -2.8961 -2.9023 -5.2587 2.3820" Properties=species:S:1:pos:R:3 pbc="T T T"
Ag -2.5391 0.5485 -1.9097
Ag -3.5465 -0.7515 -4.3041
Ag -2.0112 -2.2527 -2.2423
Ag -4.7646 -1.3454 -1.7417
Ag -0.6047 -3.7524 -0.2570
Ag -3.2160 -2.8162 0.3043
Ag -4.2765 -4.1551 -2.0911
Ag -2.7412 -5.6562 -0.0294
Cu -1.0456 -0.8984 0.0855
Cu -6.9349 -3.2633 -1.5229
```

## Properties
Offset from the most stable computed form in eV per atom: 0.032

---

Compound: ReBi2Au
Source: OQMD via LeMat-Bulk
Functional: PBE-GGA
Structure: optimized geometry

```
4
Lattice="-2.5613 -3.8809 1.8761 -2.2279 0.3943 4.4747 -5.0008 0.2069 0.3013" Properties=species:S:1:pos:R:3 pbc="T T T"
Au -4.8950 -1.6399 3.3260
Bi 0.0000 0.0000 0.0000
Bi -2.4475 -0.8199 1.6630
Re -7.3425 -2.4598 4.9891
```

## Properties
Total magnetic moment in μB per formula unit: 0.01

---

Compound: LuSc2Si4Ni4
Source: OQMD via LeMat-Bulk
Functional: PBE-GGA
Structure: optimized geometry

```
11
Lattice="1.6418 -0.2605 7.2109 -5.1397 2.1801 4.8571 2.2093 -4.6530 -5.3131" Properties=species:S:1:pos:R:3 pbc="T T T"
Lu 0.0000 0.0000 0.0000
Ni 0.0376 -0.8714 4.4833
Ni -1.1955 -0.1946 8.7378
Ni -1.3263 -1.8620 2.2716
Ni -0.0931 -2.5388 -1.9830
Sc 1.4858 -2.2154 2.4659
Sc -2.7744 -0.5179 4.2890
Si -0.7784 0.4272 2.6854
Si -2.7195 1.4924 9.3825
Si -1.0383 0.0530 6.3842
Si -0.2503 -2.7864 0.3707
```

## Properties
Total magnetic moment in μB per formula unit: 0.00

---

Compound: BaPmO3
Source: OQMD via LeMat-Bulk
Functional: PBE-GGA
Structure: optimized geometry

```
20
Lattice="6.0941 0.0000 0.0000 0.0000 6.0551 0.0000 0.0000 0.0000 10.4890" Properties=species:S:1:pos:R:3 pbc="T T T"
Ba 3.0471 0.0000 0.0000
Ba 0.0000 3.0276 0.0000
Ba 3.0471 0.0000 5.2445
Ba 0.0000 3.0276 5.2445
O 4.4803 1.6518 1.2603
O 4.6609 4.6793 1.2603
O 1.4101 1.8461 2.6223
O 1.6370 4.8736 2.6223
O 4.4803 1.6518 3.9842
O 4.6609 4.6793 3.9842
O 1.4332 1.3758 6.5048
O 1.6138 4.4033 6.5048
O 4.4571 1.1815 7.8668
O 4.6840 4.2091 7.8668
O 1.4332 1.3758 9.2287
O 1.6138 4.4033 9.2287
Pm 5.7633 0.1695 2.6223
Pm 3.3779 3.1970 2.6223
Pm 2.7162 2.8581 7.8668
Pm 0.3308 5.8856 7.8668
```

## Properties
Total magnetic moment in μB per formula unit: 0.56

---

Compound: Li4Si2W
Source: OQMD via LeMat-Bulk
Functional: PBE-GGA
Structure: optimized geometry

```
7
Lattice="3.6686 1.1389 4.3873 -4.1091 3.2319 -2.5836 -3.1072 -1.5516 3.0010" Properties=species:S:1:pos:R:3 pbc="T T T"
Li 1.6525 1.6814 2.5803
Li -0.2202 2.1854 0.9019
Li -2.0930 2.6893 -0.7766
Li -1.5536 -0.7758 1.5005
Si -0.8985 1.1740 3.1869
Si -2.6492 1.6451 1.6178
W 0.0000 0.0000 0.0000
```

## Properties
Total magnetic moment in μB per formula unit: 3.14

---

Compound: ZrNpCu
Source: OQMD via LeMat-Bulk
Functional: PBE-GGA
Structure: optimized geometry

```
3
Lattice="0.0000 3.1731 3.1731 3.1731 0.0000 3.1731 3.1731 3.1731 0.0000" Properties=species:S:1:pos:R:3 pbc="T T T"
Cu 0.0000 0.0000 0.0000
Np 1.5866 1.5866 1.5866
Zr 4.7597 4.7597 4.7597
```

## Properties
Total magnetic moment in μB per formula unit: 4.68
Offset from the most stable computed form in eV per atom: 0.000

---

Compound: TbTaCu2P4
Source: OQMD via LeMat-Bulk
Functional: PBE-GGA
Structure: optimized geometry

```
8
Lattice="3.6371 0.0000 0.0000 0.0000 3.6371 0.0000 0.0000 0.0000 9.3706" Properties=species:S:1:pos:R:3 pbc="T T T"
Cu 1.8185 0.0000 4.5975
Cu 0.0000 1.8185 4.5975
P 1.8185 0.0000 0.2020
P 0.0000 1.8185 0.2020
P 0.0000 0.0000 2.9999
P 1.8185 1.8185 6.1739
Ta 1.8185 1.8185 2.0313
Tb 0.0000 0.0000 7.3075
```

## Properties
Total magnetic moment in μB per formula unit: 0.01

---

| no. | total energy (eV/atom) | calculated density (g cm⁻³) |
| --- | --- | --- |
| 1 | -7.576 | 10.32 |
| 2 | -7.233 | 4.88 |
| 3 | -5.626 | 5.72 |
| 4 | -3.479 | 7.22 |
| 5 | -5.849 | 11.64 |
| 6 | -2.946 | 9.77 |
| 7 | -4.900 | 14.92 |
| 8 | -6.416 | 6.35 |
| 9 | -6.773 | 5.67 |
| 10 | -3.568 | 3.83 |
| 11 | -7.663 | 10.18 |
| 12 | -6.263 | 7.92 |